Compound: HgBr2
Source: Alexandria
Functional: GGA-PBE
Structure: optimized geometry

Cell and atoms, written as CIF:
```
data_HgBr2
_cell_length_a 3.6093
_cell_length_b 3.6093
_cell_length_c 13.9022
_cell_angle_alpha 90.00
_cell_angle_beta 90.00
_cell_angle_gamma 90.00
_space_group_name_H-M_alt 'I 4/m m m'
_space_group_IT_number 139
_space_group_name_Hall '-I 4 2'
loop_
_atom_site_label
_atom_site_fract_x
_atom_site_fract_y
_atom_site_fract_z
_atom_site_occupancy
Hg1 0.0000 0.0000 0.0000 1
Br1 0.0000 0.0000 0.3754 1
```

Properties
Raw total energy   -1.2591 eV/atom
M_tot   0.00 μB/atom